Below is a relaxed structure of TiAs2SBr, with properties calculated at the PBE-GGA level.

Cell: 4.764 4.764 5.112 Å, 90.00 90.00 90.00°
Space group P4/mmm (No. 123)
Symmetry-distinct sites (fractional):
Ti  0.000  0.000  0.000
As  0.000  0.500  0.500
S  0.500  0.500  0.500
Br  0.500  0.500  0.000

**Magnetic moment**: 1.240 Bohr magnetons per cell
**Energy relative to the elements, uncorrected**: 690 meV/atom
**Final energy**: -3.909 eV/atom
**Volume**: 116.0 Å³ per cell
**Fermi-level density of states**: 0.813 states/eV/atom
**Distance to the lowest polymorph of the same formula**: 415 meV/atom

Below is a relaxed structure of LaCrGa3, with properties calculated at the PBE-GGA level.

Cell: 4.708 4.708 4.708 Å, 90.00 90.00 90.00°
Space group Pm-3m (No. 221)
Symmetry-distinct sites (fractional):
La  0.000  0.000  0.000
Cr  0.500  0.500  0.500
Ga  0.000  0.500  0.500

**Magnetic moment**: 0.597 Bohr magnetons per cell
**ΔH_f (0 K)**: -322.2 meV per atom
**Final energy**: -5.048 eV/atom
**Volume**: 104.4 Å³ per cell
**Fermi-level density of states**: 0.589 states/eV/atom
**Distance to the lowest polymorph of the same formula**: 0 meV/atom

Below is a relaxed structure of Rb2ScCuCl6, with properties calculated at the PBE-GGA level.

Cell: 7.783 7.783 9.094 Å, 90.00 90.00 90.00°
Space group I4/mmm (No. 139)
Symmetry-distinct sites (fractional):
Rb  0.000  0.500  0.250
Sc  0.000  0.000  0.000
Cu  0.000  0.000  0.500
Cl  0.000  0.000  0.268
Cl  0.227  0.227  0.000

**Magnetic moment**: 0.000 Bohr magnetons per cell
**Energy relative to the elements, uncorrected**: -1708 meV/atom
**Final energy**: -4.052 eV/atom
**Volume**: 550.8 Å³ per cell
**Fermi-level density of states**: 0.000 states/eV/atom
**Distance to the lowest polymorph of the same formula**: 6 meV/atom

Below is a relaxed structure of Pa2TeBr, with properties calculated at the PBE-GGA level.

Cell: 5.200 5.200 3.746 Å, 90.00 90.00 90.00°
Space group P4/mmm (No. 123)
Symmetry-distinct sites (fractional):
Pa  0.000  0.500  0.000
Te  0.000  0.000  0.500
Br  0.500  0.500  0.500

**Magnetic moment**: 2.929 Bohr magnetons per cell
**Energy relative to the elements, uncorrected**: -335 meV/atom
**Final energy**: -6.287 eV/atom
**Volume**: 101.3 Å³ per cell
**Fermi-level density of states**: 2.623 states/eV/atom
**Distance to the lowest polymorph of the same formula**: 0 meV/atom